1.
Crystalline Tb2Cl2O at its relaxed geometry, computed with GGA-PBE.

CIF file:
```
data_Tb2Cl2O
_symmetry_space_group_name_H-M 'P 1'
_symmetry_Int_Tables_number 1
_cell_length_a 4.135
_cell_length_b 4.135
_cell_length_c 13.119
_cell_angle_alpha 90.00
_cell_angle_beta 90.00
_cell_angle_gamma 90.00
loop_
_symmetry_equiv_pos_as_xyz
'x,y,z'
loop_
_atom_site_label
_atom_site_type_symbol
_atom_site_fract_x
_atom_site_fract_y
_atom_site_fract_z
Tb1 Tb 0.000 0.000 0.158
Tb2 Tb 0.000 0.000 0.842
Cl1 Cl 0.000 0.000 0.347
Cl2 Cl 0.000 0.000 0.653
O1 O 0.000 0.000 0.000
```

Calculated values
Its space group is P4/mmm (123). The uncorrected formation energy is -1.328 eV per atom. The density of states at the Fermi level is 0.42 states/eV per atom. The volume comes out at 44.86 Å³/atom.

=====

2.
Crystalline Tb2ClO at its relaxed geometry, computed with GGA-PBE.

CIF file:
```
data_Tb2ClO
_symmetry_space_group_name_H-M 'P 1'
_symmetry_Int_Tables_number 1
_cell_length_a 7.268
_cell_length_b 7.268
_cell_length_c 7.268
_cell_angle_alpha 27.98
_cell_angle_beta 27.98
_cell_angle_gamma 27.98
loop_
_symmetry_equiv_pos_as_xyz
'x,y,z'
loop_
_atom_site_label
_atom_site_type_symbol
_atom_site_fract_x
_atom_site_fract_y
_atom_site_fract_z
Tb1 Tb 0.230 0.230 0.230
Tb2 Tb 0.770 0.770 0.770
Cl1 Cl 0.000 0.000 0.000
O1 O 0.500 0.500 0.500
```

Calculated values
Its space group is R-3m (166). The uncorrected formation energy is -1.931 eV per atom. The density of states at the Fermi level is 0.82 states/eV per atom. The volume comes out at 18.67 Å³/atom.